w) The following is a GGA-PBE calculation of Re3HPt after structural relaxation, from Alexandria.

Computed properties:
Calculated volume, Å³/atom: 22.1
ρ, g cm⁻³: 11.3
Total magnetization, μB per atom: 0.814

Cell lengths 4.8021, 4.8021, 4.8021 Å; angles 90.00, 90.00, 90.00 degrees
Positions (direct):
Re (0.0000, 0.0000, 0.5000)
Re (0.0000, 0.5000, 0.0000)
Re (0.5000, 0.0000, 0.0000)
H (0.5000, 0.5000, 0.5000)
Pt (0.0000, 0.0000, 0.0000)

x) The following is a GGA-PBE calculation of Re3HPt after structural relaxation, from Alexandria.

Computed properties:
Calculated volume, Å³/atom: 12.4
ρ, g cm⁻³: 20.2
Total magnetization, μB per atom: 0.000

Cell lengths 3.9558, 3.9558, 3.9558 Å; angles 90.00, 90.00, 90.00 degrees
Positions (direct):
Re (0.0000, 0.0000, 0.5000)
Re (0.0000, 0.5000, 0.0000)
Re (0.5000, 0.0000, 0.0000)
H (0.0000, 0.0000, 0.0000)
Pt (0.5000, 0.5000, 0.5000)

Result of the stability comparison: x) is the most stable of them.

w) The following is a GGA-PBE calculation of Re2HPt after structural relaxation, from Alexandria.

Computed properties:
Calculated volume, Å³/atom: 14.2
ρ, g cm⁻³: 16.7
Total magnetization, μB per atom: 0.000

Cell lengths 6.0081, 6.0081, 6.0081 Å; angles 133.17, 133.17, 68.38 degrees
Positions (direct):
Re (0.3750, 0.2303, 0.3553)
Re (0.7697, 0.1250, 0.1447)
Re (0.8750, 0.0197, 0.6447)
Re (0.9803, 0.6250, 0.8553)
H (0.0000, 0.0000, 0.0000)
H (0.7500, 0.2500, 0.5000)
Pt (0.2500, 0.7500, 0.5000)
Pt (0.5000, 0.5000, 0.0000)

x) The following is a GGA-PBE calculation of Re2HPt after structural relaxation, from Alexandria.

Computed properties:
Calculated volume, Å³/atom: 13.5
ρ, g cm⁻³: 17.5
Total magnetization, μB per atom: 0.347

Cell lengths 4.2396, 4.2396, 4.2396 Å; angles 60.00, 60.00, 60.00 degrees
Positions (direct):
Re (0.2500, 0.2500, 0.2500)
Re (0.7500, 0.7500, 0.7500)
H (0.0000, 0.0000, 0.0000)
Pt (0.5000, 0.5000, 0.5000)

Result of the stability comparison: w) is the most stable of them.

w) The following is a GGA-PBE calculation of ReH3Pt after structural relaxation, from Alexandria.

Computed properties:
Calculated volume, Å³/atom: 8.4
ρ, g cm⁻³: 15.3
Total magnetization, μB per atom: 0.152

Cell lengths 3.4695, 3.4695, 3.4695 Å; angles 90.00, 90.00, 90.00 degrees
Positions (direct):
Re (0.0000, 0.0000, 0.0000)
H (0.0000, 0.5000, 0.5000)
H (0.5000, 0.0000, 0.5000)
H (0.5000, 0.5000, 0.0000)
Pt (0.5000, 0.5000, 0.5000)

x) The following is a GGA-PBE calculation of ReH3Pt after structural relaxation, from Alexandria.

Computed properties:
Calculated volume, Å³/atom: 8.3
ρ, g cm⁻³: 15.3
Total magnetization, μB per atom: 0.000

Cell lengths 3.4684, 3.4684, 3.4684 Å; angles 90.00, 90.00, 90.00 degrees
Positions (direct):
Re (0.0000, 0.0000, 0.0000)
H (0.0000, 0.0000, 0.5000)
H (0.0000, 0.5000, 0.0000)
H (0.5000, 0.0000, 0.0000)
Pt (0.5000, 0.5000, 0.5000)

Result of the stability comparison: x) is the most stable of them.

w) The following is a GGA-PBE calculation of Re2H2Pt after structural relaxation, from Alexandria.

Computed properties:
Calculated volume, Å³/atom: 11.9
ρ, g cm⁻³: 16.0
Total magnetization, μB per atom: 0.000

Cell lengths 6.7096, 6.7096, 2.6332 Å; angles 90.00, 90.00, 90.00 degrees
Positions (direct):
Re (0.1298, 0.3702, 0.0000)
Re (0.3702, 0.8702, 0.0000)
Re (0.6298, 0.1298, 0.0000)
Re (0.8702, 0.6298, 0.0000)
H (0.1008, 0.6008, 0.5000)
H (0.3992, 0.1008, 0.5000)
H (0.6008, 0.8992, 0.5000)
H (0.8992, 0.3992, 0.5000)
Pt (0.0000, 0.0000, 0.0000)
Pt (0.5000, 0.5000, 0.0000)

x) The following is a GGA-PBE calculation of Re2H2Pt after structural relaxation, from Alexandria.

Computed properties:
Calculated volume, Å³/atom: 10.3
ρ, g cm⁻³: 18.4
Total magnetization, μB per atom: 0.211

Cell lengths 4.8694, 4.8694, 4.8694 Å; angles 137.90, 137.90, 61.06 degrees
Positions (direct):
Re (0.1602, 0.1602, 0.0000)
Re (0.8398, 0.8398, 0.0000)
H (0.2500, 0.7500, 0.5000)
H (0.7500, 0.2500, 0.5000)
Pt (0.5000, 0.5000, 0.0000)

Result of the stability comparison: x) is the most stable of them.

w) The following is a GGA-PBE calculation of ReHPtRh2 after structural relaxation, from Alexandria.

Computed properties:
Calculated volume, Å³/atom: 12.2
ρ, g cm⁻³: 16.0
Total magnetization, μB per atom: 0.000

Cell lengths 3.9283, 3.9283, 3.9549 Å; angles 90.00, 90.00, 90.00 degrees
Positions (direct):
Re (0.0000, 0.0000, 0.0000)
H (0.0000, 0.0000, 0.5000)
Pt (0.5000, 0.5000, 0.0000)
Rh (0.0000, 0.5000, 0.5000)
Rh (0.5000, 0.0000, 0.5000)

x) The following is a GGA-PBE calculation of ReHPtRh2 after structural relaxation, from Alexandria.

Computed properties:
Calculated volume, Å³/atom: 12.3
ρ, g cm⁻³: 15.9
Total magnetization, μB per atom: 0.298

Cell lengths 3.9513, 3.9513, 3.9358 Å; angles 90.00, 90.00, 90.00 degrees
Positions (direct):
Re (0.0000, 0.0000, 0.0000)
H (0.5000, 0.5000, 0.5000)
Pt (0.5000, 0.5000, 0.0000)
Rh (0.0000, 0.5000, 0.5000)
Rh (0.5000, 0.0000, 0.5000)

Result of the stability comparison: w) is the most stable of them.

w) The following is a GGA-PBE calculation of Zr2ReHPt after structural relaxation, from Alexandria.

Computed properties:
Calculated volume, Å³/atom: 15.2
ρ, g cm⁻³: 12.3
Total magnetization, μB per atom: 0.000

Cell lengths 4.5993, 4.5993, 3.6033 Å; angles 90.00, 90.00, 90.00 degrees
Positions (direct):
Zr (0.0000, 0.5000, 0.0000)
Zr (0.5000, 0.0000, 0.0000)
Re (0.0000, 0.0000, 0.5000)
H (0.5000, 0.5000, 0.0000)
Pt (0.5000, 0.5000, 0.5000)

x) The following is a GGA-PBE calculation of Zr2ReHPt after structural relaxation, from Alexandria.

Computed properties:
Calculated volume, Å³/atom: 15.2
ρ, g cm⁻³: 12.3
Total magnetization, μB per atom: 0.000

Cell lengths 4.5378, 4.5378, 3.6951 Å; angles 90.00, 90.00, 90.00 degrees
Positions (direct):
Zr (0.0000, 0.5000, 0.0000)
Zr (0.5000, 0.0000, 0.0000)
Re (0.0000, 0.0000, 0.5000)
H (0.0000, 0.0000, 0.0000)
Pt (0.5000, 0.5000, 0.5000)

Result of the stability comparison: x) is the most stable of them.